Run P
Compound: FeBr2Cl
Source: the Alexandria database
Functional: meta-GGA SCAN
Structure: single point on PBEsol structure

a = 7.466 Å, b = 7.466 Å, c = 7.466 Å
α = 27.16°, β = 27.16°, γ = 27.16°
Element x y z (fractional)
Fe  0.000  0.000  0.000
Br  0.272  0.272  0.272
Br  0.728  0.728  0.728
Cl  0.500  0.500  0.500

Properties
spin magnetization = 0.255 μB/atom
D(E_F) = 0.039 states/eV/atom
calculated density = 5.4 g/cm3
SG = No. 166


Run Q
Compound: FeBr2Cl
Source: the Alexandria database
Functional: meta-GGA SCAN
Structure: single point on PBEsol structure

a = 6.895 Å, b = 6.895 Å, c = 6.895 Å
α = 96.62°, β = 96.62°, γ = 140.30°
Element x y z (fractional)
Fe  0.000  0.000  0.000
Fe  0.750  0.250  0.500
Br  0.375  0.019  0.144
Br  0.769  0.625  0.644
Br  0.875  0.231  0.856
Br  0.981  0.125  0.356
Cl  0.250  0.750  0.500
Cl  0.500  0.500  0.000

Properties
spin magnetization = 1.254 μB/atom
D(E_F) = 0.252 states/eV/atom
calculated density = 4.2 g/cm3
SG = No. 122


Run R
Compound: FeBr2Cl
Source: the Alexandria database
Functional: meta-GGA SCAN
Structure: single point on PBEsol structure

a = 6.213 Å, b = 3.353 Å, c = 6.217 Å
α = 90.00°, β = 119.35°, γ = 90.00°
Element x y z (fractional)
Fe  0.000  0.000  0.000
Br  0.003  0.000  0.633
Br  0.320  0.500  0.257
Cl  0.715  0.500  0.952

Properties
spin magnetization = 1.251 μB/atom
calculated density = 3.7 g/cm3
SG = No. 6


Taking the most stable structure as the zero point, the relative energies in kJ/mol of atoms are run P 58.7; run Q 28.6; run R 0.0.